Entry 1:
DFT (GGA-PBE) results for ZnReCl3 after structural relaxation.

## Properties
E_form (uncorrected) ... 502 meV/atom
Polymorph energy (0 for the lowest one) ... 6.91 kcal/mol of atoms

abc: 4.9287 4.9287 4.9287
angles: 90.00 90.00 90.00
Fractional coordinates of all 5 atoms:
Zn 0.0000 0.0000 0.0000
Re 0.5000 0.5000 0.5000
Cl 0.0000 0.0000 0.5000
Cl 0.0000 0.5000 0.0000
Cl 0.5000 0.0000 0.0000

---

Entry 2:
DFT (GGA-PBE) results for Zn3ReCl after structural relaxation.

## Properties
E_form (uncorrected) ... 844 meV/atom
Polymorph energy (0 for the lowest one) ... 0.00 kcal/mol of atoms

abc: 5.0414 5.0414 5.0414
angles: 90.00 90.00 90.00
Fractional coordinates of all 5 atoms:
Zn 0.0000 0.0000 0.5000
Zn 0.0000 0.5000 0.0000
Zn 0.5000 0.0000 0.0000
Re 0.0000 0.0000 0.0000
Cl 0.5000 0.5000 0.5000

---

Entry 3:
DFT (GGA-PBE) results for ZrZnRe2Cl after structural relaxation.

## Properties
E_form (uncorrected) ... 1751 meV/atom

abc: 5.0290 5.0290 4.9695
angles: 90.00 90.00 90.00
Fractional coordinates of all 5 atoms:
Zr 0.0000 0.0000 0.0000
Zn 0.5000 0.5000 0.5000
Re 0.0000 0.5000 0.0000
Re 0.5000 0.0000 0.0000
Cl 0.0000 0.0000 0.5000

---

Calculated density: 4.96, 5.42, 7.46 (g/cm³)
Energy: -3.350, -2.779, -5.562 (eV per atom)